First-principles (PBE) data for crystalline Ta2MnCu at its relaxed geometry, as listed in the Alexandria database.

POSCAR file:
```
Ta2MnCu
1.0
-2.038 -1.774 0.730
1.769 -1.326 1.716
-2.083 4.804 5.858
Ta Cu Mn
2 1 1
direct
0.000 0.000 0.502
0.000 0.000 0.998
0.500 0.500 0.250
0.500 0.500 0.750
```

## Properties
ΔH_f (0 K)   0.13 eV/atom